*A*
TlCO2, relaxed, DFT GGA-PBE; size of the total moment = 0.0 Bohr magnetons per cell
1.0
6.5501 0.0000 0.0000
0.0000 2.9178 0.0000
0.0000 0.0000 14.4732
Tl C O
4 4 8
Cartesian
1.5079 0.7294 1.1179 Tl
1.7671 2.1883 8.3545 Tl
4.7830 0.7294 6.1187 Tl
5.0422 2.1883 13.3553 Tl
1.1982 2.1883 4.9770 C
2.0769 0.7294 12.2136 C
4.4732 2.1883 2.2596 C
5.3520 0.7294 9.4962 C
0.8295 0.7294 5.6464 O
1.5012 0.7294 11.1694 O
1.7739 2.1883 3.9328 O
2.4455 2.1883 12.8830 O
4.1046 0.7294 1.5902 O
4.7763 0.7294 10.5404 O
5.0489 2.1883 3.3038 O
5.7206 2.1883 8.8268 O



*B*
TlCO2, relaxed, DFT GGA-PBE; size of the total moment = 0.0 Bohr magnetons per cell
1.0
6.8118 0.0000 0.0000
0.0000 6.0062 0.0000
-1.1428 0.0000 6.8470
Tl C O
4 4 8
Cartesian
0.9731 0.3218 2.1597 Tl
0.4017 2.6813 5.5832 Tl
5.2673 3.3249 1.2638 Tl
4.6959 5.6845 4.6873 Tl
2.4144 3.5561 3.0566 C
1.8430 5.4532 6.4801 C
3.8259 0.5530 0.3669 C
3.2545 2.4501 3.7904 C
1.1521 3.4401 3.0577 O
0.5807 5.5692 6.4812 O
2.6065 1.4959 4.3344 O
3.1779 1.5072 0.9109 O
2.4911 4.4990 5.9361 O
3.0625 4.5104 2.5126 O
5.0883 0.4370 0.3658 O
4.5168 2.5661 3.7893 O



Least stable: *A*



*A*
TlCO2, relaxed, DFT GGA-PBE; size of the total moment = 0.0 Bohr magnetons per cell
1.0
1.6341 0.9435 8.2838
-1.6341 0.9435 8.2838
0.0000 -1.8869 8.2838
Tl C O
1 1 2
Cartesian
0.0000 0.0000 0.0000 Tl
0.0000 0.0000 12.4257 C
0.0000 0.0000 11.2460 O
0.0000 0.0000 13.6055 O



*B*
TlCO2, relaxed, DFT GGA-PBE; size of the total moment = 0.0 Bohr magnetons per cell
1.0
0.0000 3.7296 3.7296
3.7296 0.0000 3.7296
3.7296 3.7296 0.0000
Tl C O
2 2 4
Cartesian
0.9324 0.9324 0.9324 Tl
6.5269 6.5269 6.5269 Tl
2.7972 2.7972 2.7972 C
4.6620 4.6620 4.6620 C
3.7296 1.8648 1.8648 O
1.8648 3.7296 1.8648 O
1.8648 1.8648 3.7296 O
3.7296 3.7296 3.7296 O



Least stable: *B*



*A*
TlCO2, relaxed, DFT GGA-PBE; size of the total moment = 0.0 Bohr magnetons per cell
1.0
5.2871 0.0000 0.0000
0.0000 3.6765 0.0000
-0.8208 0.0000 9.5419
Tl C O
2 2 4
Cartesian
1.2415 0.9191 0.3433 Tl
3.2248 2.7573 9.1987 Tl
1.4774 2.7573 5.9249 C
2.9889 0.9191 3.6170 C
0.3375 2.7573 6.0358 O
2.2502 2.7573 1.1066 O
2.2161 0.9191 8.4354 O
4.1289 0.9191 3.5061 O



*B*
TlCO2, relaxed, DFT GGA-PBE; size of the total moment = 0.0 Bohr magnetons per cell
1.0
0.0000 2.8279 2.8279
2.8279 0.0000 2.8279
2.8279 2.8279 0.0000
Tl C O
1 1 2
Cartesian
0.0000 0.0000 0.0000 Tl
2.8279 2.8279 2.8279 C
1.4140 1.4140 1.4140 O
4.2419 4.2419 4.2419 O



*C*
TlCO2, relaxed, DFT GGA-PBE; size of the total moment = 0.0 Bohr magnetons per cell
1.0
1.4038 0.8105 6.9685
-1.4038 0.8105 6.9685
0.0000 -1.6210 6.9685
Tl C O
1 1 2
Cartesian
0.0000 0.0000 0.0000 Tl
0.0000 0.0000 10.4527 C
0.0000 0.0000 2.6027 O
0.0000 0.0000 18.3028 O



Least stable: *B*



*A*
TlC2O, relaxed, DFT GGA-PBE; size of the total moment = 0.0 Bohr magnetons per cell
1.0
-2.3925 2.3925 4.7096
2.3925 -2.3925 4.7096
2.3925 2.3925 -4.7096
Tl C O
2 4 2
Cartesian
0.0000 0.0000 0.0000 Tl
0.0000 2.3925 2.3548 Tl
1.1962 -0.7973 3.5322 C
1.5952 1.1962 1.1774 C
1.1962 3.1898 -1.1774 C
0.7973 1.1962 5.8870 C
2.3925 0.0000 2.3548 O
0.0000 0.0000 4.7096 O



*B*
TlC2O, relaxed, DFT GGA-PBE; size of the total moment = 0.0 Bohr magnetons per cell
1.0
0.0000 2.8729 2.8729
2.8729 0.0000 2.8729
2.8729 2.8729 0.0000
Tl C O
1 2 1
Cartesian
0.0000 0.0000 0.0000 Tl
1.4365 1.4365 1.4365 C
4.3094 4.3094 4.3094 C
2.8729 2.8729 2.8729 O



Least stable: *B*